# Al3SnGe3

A relaxed structure of Al3SnGe3 (PBE, Alexandria).

Computed properties:
Calculated formation energy   366 meV per atom
DOS(E_F)   0.37 states/eV per atom
Raw total energy   -3.789 eV/atom
Magnetization   0.0 μB/f.u.

Cell lengths 7.0668, 7.0668, 7.0668 Å; angles 90.00, 90.00, 90.00 degrees
Element x y z (fractional)
Ge: 0.0000 0.2500 0.5000
Ge: 0.0000 0.7500 0.5000
Ge: 0.5000 0.0000 0.7500
Ge: 0.7500 0.5000 0.0000
Ge: 0.5000 0.0000 0.2500
Ge: 0.2500 0.5000 0.0000
Sn: 0.5000 0.5000 0.5000
Sn: 0.0000 0.0000 0.0000
Al: 0.2500 0.0000 0.5000
Al: 0.0000 0.5000 0.2500
Al: 0.5000 0.7500 0.0000
Al: 0.7500 0.0000 0.5000
Al: 0.0000 0.5000 0.7500
Al: 0.5000 0.2500 0.0000